Entry 1:
Below is a geometry-optimized PuMo4P2 structure, with properties calculated at the PBE level.

a b c (Å): 8.2471 8.2471 4.1834
angles (deg): 90.00 90.00 155.94
Atoms (fractional coordinates):
Pu  0.0000  0.0000  0.0000
Mo  0.1819  0.8181  0.5000
Mo  0.3209  0.6791  0.0000
Mo  0.6791  0.3209  0.0000
Mo  0.8181  0.1819  0.5000
P  0.4243  0.5757  0.5000
P  0.5757  0.4243  0.5000

Calculated values
* formation energy from the elements: -0.337 eV/atom
* DOS(E_F): 1.36 states/eV/atom

---

Entry 2:
Below is a geometry-optimized TaTe2Ru2 structure, with properties calculated at the PBE level.

a b c (Å): 8.6301 8.6301 8.6301
angles (deg): 156.65 156.65 33.25
Atoms (fractional coordinates):
Ta  0.0000  0.0000  0.0000
Te  0.3987  0.3987  0.0000
Te  0.6013  0.6013  0.0000
Ru  0.2500  0.7500  0.5000
Ru  0.7500  0.2500  0.5000

Calculated values
* uncorrected formation energy: 0.62 eV per atom
* DOS(E_F): 1.34 states/eV/atom

---

Entry 3:
Below is a geometry-optimized SbWSe2 structure, with properties calculated at the PBE level.

a b c (Å): 3.0982 3.0982 11.0237
angles (deg): 90.00 90.00 117.93
Atoms (fractional coordinates):
Sb  0.0000  0.0000  0.0000
W  0.0000  0.0000  0.5000
Se  0.5000  0.5000  0.3188
Se  0.5000  0.5000  0.6812

Calculated values
* uncorrected formation energy: 0.41 eV per atom
* DOS(E_F): 0.82 states/eV/atom

---

Entry 4:
Below is a geometry-optimized SnCO2F structure, with properties calculated at the PBE level.

a b c (Å): 4.0207 4.0207 4.1010
angles (deg): 90.00 90.00 90.00
Atoms (fractional coordinates):
Sn  0.0000  0.0000  0.0000
C  0.5000  0.5000  0.5000
O  0.0000  0.5000  0.0000
O  0.5000  0.0000  0.0000
F  0.0000  0.0000  0.5000

Calculated values
* uncorrected formation energy: 0.29 eV per atom
* DOS(E_F): 0.43 states/eV/atom

---

Entry 5:
Below is a geometry-optimized K3Dy2SnSe6 structure, with properties calculated at the PBE level.

a b c (Å): 7.3178 7.3178 8.0529
angles (deg): 98.70 98.70 120.00
Atoms (fractional coordinates):
K  0.0000  0.0000  0.0000
K  0.3346  0.6654  0.0000
K  0.6654  0.3346  0.0000
Dy  0.1668  0.8332  0.5000
Dy  0.8332  0.1668  0.5000
Sn  0.5000  0.5000  0.5000
Se  0.0971  0.4318  0.2955
Se  0.2332  0.2332  0.7042
Se  0.4318  0.0971  0.2955
Se  0.5682  0.9029  0.7045
Se  0.7668  0.7668  0.2958
Se  0.9029  0.5682  0.7045

Calculated values
* uncorrected formation energy: -1.41 eV per atom
* DOS(E_F): 0.38 states/eV/atom

---

Entry 6:
Below is a geometry-optimized InTcOs2 structure, with properties calculated at the PBE level.

a b c (Å): 2.8113 3.8549 5.8838
angles (deg): 90.00 90.00 90.00
Atoms (fractional coordinates):
In  0.0000  0.0000  0.0000
Tc  0.5000  0.5000  0.7212
Os  0.0000  0.0000  0.4980
Os  0.5000  0.5000  0.2770

Calculated values
* formation energy from the elements: 0.398 eV/atom
* DOS(E_F): 1.16 states/eV/atom

---

Entry 7:
Below is a geometry-optimized CsReF2 structure, with properties calculated at the PBE level.

a b c (Å): 8.4558 8.4558 8.4558
angles (deg): 21.85 21.85 21.85
Atoms (fractional coordinates):
Cs  0.0000  0.0000  0.0000
Re  0.5000  0.5000  0.5000
F  0.4191  0.4191  0.4191
F  0.5809  0.5809  0.5809

Calculated values
* uncorrected formation energy: -0.84 eV per atom
* DOS(E_F): 0.96 states/eV/atom

---

Entry 8:
Below is a geometry-optimized PrGaNiH2 structure, with properties calculated at the PBE level.

a b c (Å): 5.8076 5.8076 6.0573
angles (deg): 90.00 90.00 140.69
Atoms (fractional coordinates):
Pr  0.2025  0.7975  0.7500
Pr  0.7975  0.2025  0.2500
Ga  0.0718  0.9282  0.2500
Ga  0.9282  0.0718  0.7500
Ni  0.5000  0.5000  0.0000
Ni  0.5000  0.5000  0.5000
H  0.3535  0.6465  0.0412
H  0.3535  0.6465  0.4588
H  0.6465  0.3535  0.5412
H  0.6465  0.3535  0.9588

Calculated values
* VASP energy: -0.1668 Ha/atom
* DOS(E_F): 0.47 states/eV/atom

---

Entry 9:
Below is a geometry-optimized CrFe3Hg structure, with properties calculated at the PBE level.

a b c (Å): 4.2787 4.2787 4.2787
angles (deg): 90.00 90.00 90.00
Atoms (fractional coordinates):
Cr  0.0000  0.0000  0.0000
Fe  0.0000  0.0000  0.5000
Fe  0.0000  0.5000  0.0000
Fe  0.5000  0.0000  0.0000
Hg  0.5000  0.5000  0.5000

Calculated values
* formation energy from the elements: 1.086 eV/atom
* DOS(E_F): 1.28 states/eV/atom

---

Entry 10:
Below is a geometry-optimized RbZnPt2C structure, with properties calculated at the PBE level.

a b c (Å): 4.7007 4.7007 6.3158
angles (deg): 90.00 90.00 90.00
Atoms (fractional coordinates):
Rb  0.0000  0.0000  0.0000
Zn  0.0000  0.0000  0.5000
Pt  0.0000  0.5000  0.5000
Pt  0.5000  0.0000  0.5000
C  0.5000  0.5000  0.0000

Calculated values
* formation energy from the elements: 1.713 eV/atom
* DOS(E_F): 0.66 states/eV/atom

---

Entry 11:
Below is a geometry-optimized LuPuMn structure, with properties calculated at the PBE level.

a b c (Å): 6.1912 6.1912 6.1912
angles (deg): 148.32 148.32 45.41
Atoms (fractional coordinates):
Lu  0.0000  0.0000  0.0000
Pu  0.2821  0.2821  0.0000
Mn  0.6637  0.6637  0.0000

Calculated values
* formation energy from the elements: 0.085 eV/atom
* DOS(E_F): 1.57 states/eV/atom

---

Entry 12:
Below is a geometry-optimized Sm3In3NiHg2 structure, with properties calculated at the PBE level.

a b c (Å): 7.8708 7.8708 4.0951
angles (deg): 90.00 90.00 120.00
Atoms (fractional coordinates):
Sm  0.0000  0.6080  0.0000
Sm  0.3920  0.3920  0.0000
Sm  0.6080  0.0000  0.0000
In  0.0000  0.2367  0.5000
In  0.2367  0.0000  0.5000
In  0.7633  0.7633  0.5000
Ni  0.0000  0.0000  0.0000
Hg  0.3333  0.6667  0.5000
Hg  0.6667  0.3333  0.5000

Calculated values
* formation energy from the elements: -0.494 eV/atom
* DOS(E_F): 0.49 states/eV/atom

---

Entry 13:
Below is a geometry-optimized Sm5TmSc structure, with properties calculated at the PBE level.

a b c (Å): 7.2462 7.2462 5.8215
angles (deg): 93.35 93.35 73.57
Atoms (fractional coordinates):
Sm  0.0000  0.0000  0.0000
Sm  0.2486  0.2486  0.5568
Sm  0.3128  0.6872  0.5000
Sm  0.6872  0.3128  0.5000
Sm  0.7514  0.7514  0.4432
Tm  0.5000  0.5000  0.0000
Sc  0.0000  0.0000  0.5000

Calculated values
* formation energy from the elements: 0.876 eV/atom
* DOS(E_F): 1.26 states/eV/atom

---

Entry 14:
Below is a geometry-optimized Ho3Zn9Au2 structure, with properties calculated at the PBE level.

a b c (Å): 8.2233 8.2233 8.2233
angles (deg): 149.35 114.28 74.25
Atoms (fractional coordinates):
Ho  0.0000  0.0000  0.0000
Ho  0.3022  0.3022  0.0000
Ho  0.6978  0.6978  0.0000
Zn  0.0314  0.6694  0.3620
Zn  0.1430  0.8638  0.2791
Zn  0.3073  0.6694  0.6380
Zn  0.4153  0.1362  0.2791
Zn  0.5000  0.0000  0.5000
Zn  0.5847  0.8638  0.7209
Zn  0.6927  0.3306  0.3620
Zn  0.8570  0.1362  0.7209
Zn  0.9686  0.3306  0.6380
Au  0.3006  0.5000  0.8006
Au  0.6994  0.5000  0.1994

Calculated values
* formation energy from the elements: -0.405 eV/atom
* DOS(E_F): 0.48 states/eV/atom

---

Entry 15:
Below is a geometry-optimized Na2ZnHg3 structure, with properties calculated at the PBE level.

a b c (Å): 5.9753 5.9753 6.7216
angles (deg): 123.74 123.74 48.84
Atoms (fractional coordinates):
Na  0.0000  0.0000  0.0000
Na  0.0303  0.0303  0.5218
Zn  0.3401  0.3401  0.5560
Hg  0.3513  0.3513  0.1236
Hg  0.6586  0.6586  0.9065
Hg  0.6989  0.6989  0.4347

Calculated values
* formation energy from the elements: -0.175 eV/atom
* DOS(E_F): 0.32 states/eV/atom

---

Total magnetic moment: 5.1 0.3 0.0 1.0 0.0 0.0 0.0 0.0 4.3 2.2 3.5 0.0 0.0 0.0 0.0 (μB per cell)